# Ir2PtW | the Alexandria database | SCAN | single point on PBEsol structure
# Mass density, g/cm³: 21.56
# Symmetry: No. 166
# Formation enthalpy at 0 K, meV/atom: -114.5
data_Ir2PtW
_chemical_formula_sum 'Ir2 Pt1 W1'
_symmetry_space_group_name_H-M 'P 1'
_symmetry_Int_Tables_number 1
_cell_length_a 2.740
_cell_length_b 2.740
_cell_length_c 9.183
_cell_angle_alpha 81.42
_cell_angle_beta 81.42
_cell_angle_gamma 60.00
loop_
_symmetry_equiv_pos_as_xyz
'x,y,z'
loop_
_atom_site_label
_atom_site_fract_x
_atom_site_fract_y
_atom_site_fract_z
Ir1 0.747 0.747 0.759
Ir2 0.253 0.253 0.241
Pt1 0.500 0.500 0.500
W1 0.000 0.000 0.000